! Ta2OsPt PBE-GGA relaxed; values from VASP
! ΔH_f (0 K): -423 meV per atom
! theoretical density: 18.31 g cm⁻³
&SYSTEM
  ibrav = 0, nat = 4, ntyp = 3
/
ATOMIC_SPECIES
Ta 180.95 Ta.upf
Pt 195.08 Pt.upf
Os 190.23 Os.upf
ATOMIC_POSITIONS angstrom
Ta 2.1982 1.1657 1.8034
Ta 0.0000 3.9001 5.1474
Pt 2.1982 2.4540 4.3079
Os 0.0000 2.6260 2.4649
CELL_PARAMETERS angstrom
4.3964 0.0000 0.0000
0.0000 3.0176 0.2828
0.0000 1.0407 5.2067